! Si2Br4Cl, optimized geometry, DFT PBE-GGA; values from VASP
! **Symmetry**: I4/mmm
! **ΔE_f (raw)**: 0.0883 eV/atom
! **Spin magnetization**: 0.662 Bohr magnetons per cell
&SYSTEM
  ibrav = 0, nat = 7, ntyp = 3
/
ATOMIC_SPECIES
Si 28.09 Si.upf
Br 79.90 Br.upf
Cl 35.45 Cl.upf
CELL_PARAMETERS angstrom
-2.850 2.850 8.475
2.850 -2.850 8.475
2.850 2.850 -8.475
ATOMIC_POSITIONS angstrom
Si 0.000 0.000 1.297
Si 0.000 0.000 15.654
Br 2.850 0.000 0.000
Br 0.000 0.000 3.554
Br 0.000 2.850 0.000
Br 0.000 0.000 13.397
Cl 0.000 0.000 8.475

! SiBr3Cl, optimized geometry, DFT PBE-GGA; values from VASP
! **Symmetry**: P1
! **ΔE_f (raw)**: -0.9127 eV/atom
! **Spin magnetization**: 0.000 Bohr magnetons per cell
&SYSTEM
  ibrav = 0, nat = 10, ntyp = 3
/
ATOMIC_SPECIES
Si 28.09 Si.upf
Br 79.90 Br.upf
Cl 35.45 Cl.upf
CELL_PARAMETERS angstrom
6.792 0.000 0.000
0.001 6.839 0.000
0.001 0.006 9.554
ATOMIC_POSITIONS angstrom
Si 0.000 0.000 0.000
Si 2.335 3.421 4.782
Br 2.689 1.237 4.773
Br 3.244 4.304 6.593
Br 3.251 4.319 2.981
Br 5.873 0.895 1.801
Br 5.887 0.892 7.743
Br 6.443 4.654 0.005
Cl 0.329 3.790 4.779
Cl 2.006 0.372 0.006

! SiBrCl, optimized geometry, DFT PBE-GGA; values from VASP
! **Symmetry**: I4mm
! **ΔE_f (raw)**: -0.0828 eV/atom
! **Spin magnetization**: 0.000 Bohr magnetons per cell
&SYSTEM
  ibrav = 0, nat = 3, ntyp = 3
/
ATOMIC_SPECIES
Si 28.09 Si.upf
Br 79.90 Br.upf
Cl 35.45 Cl.upf
CELL_PARAMETERS angstrom
-1.711 1.711 7.054
1.711 -1.711 7.054
1.711 1.711 -7.054
ATOMIC_POSITIONS angstrom
Si 0.000 0.000 0.000
Br 0.000 0.000 5.383
Cl 0.000 0.000 8.581

! SiBrCl, optimized geometry, DFT PBE-GGA; values from VASP
! **Symmetry**: Cc
! **ΔE_f (raw)**: -0.8071 eV/atom
! **Spin magnetization**: 0.000 Bohr magnetons per cell
&SYSTEM
  ibrav = 0, nat = 6, ntyp = 3
/
ATOMIC_SPECIES
Si 28.09 Si.upf
Br 79.90 Br.upf
Cl 35.45 Cl.upf
CELL_PARAMETERS angstrom
3.807 -7.802 0.000
3.807 7.802 0.000
-1.111 0.000 3.891
ATOMIC_POSITIONS angstrom
Si 3.251 7.168 1.946
Si 3.807 -7.168 0.000
Br 4.757 1.930 3.388
Br 5.313 -1.930 1.442
Cl 1.637 1.806 0.467
Cl 1.081 -1.806 2.413

! SiBrCl4, optimized geometry, DFT PBE-GGA; values from VASP
! **Symmetry**: F-43m
! **ΔE_f (raw)**: 0.7444 eV/atom
! **Spin magnetization**: 1.080 Bohr magnetons per cell
&SYSTEM
  ibrav = 0, nat = 6, ntyp = 3
/
ATOMIC_SPECIES
Si 28.09 Si.upf
Br 79.90 Br.upf
Cl 35.45 Cl.upf
CELL_PARAMETERS angstrom
0.000 4.098 4.098
4.098 0.000 4.098
4.098 4.098 0.000
ATOMIC_POSITIONS angstrom
Si 0.000 0.000 0.000
Br 6.147 6.147 6.147
Cl 3.069 3.069 3.069
Cl 5.127 5.127 3.069
Cl 5.127 3.069 5.127
Cl 3.069 5.127 5.127

! SiBr3Cl, optimized geometry, DFT PBE-GGA; values from VASP
! **Symmetry**: Pm-3m
! **ΔE_f (raw)**: 0.0493 eV/atom
! **Spin magnetization**: 0.863 Bohr magnetons per cell
&SYSTEM
  ibrav = 0, nat = 5, ntyp = 3
/
ATOMIC_SPECIES
Si 28.09 Si.upf
Br 79.90 Br.upf
Cl 35.45 Cl.upf
CELL_PARAMETERS angstrom
5.084 0.000 0.000
0.000 5.084 0.000
0.000 0.000 5.084
ATOMIC_POSITIONS angstrom
Si 0.000 0.000 0.000
Br 0.000 0.000 2.542
Br 0.000 2.542 0.000
Br 2.542 0.000 0.000
Cl 2.542 2.542 2.542

> Which formula does entry 6 have?

SiBr3Cl

> Look up the spin magnetization of the second one.

0.000 Bohr magnetons per cell

> What is the ΔE_f (raw) in the sixth record?

0.0493 eV/atom